## CaBeSb2C (PBE)

Data for a geometry-optimized CaBeSb2C structure.

Summary:
Total energy in eV for the cell shown: -21.3
ρ in Mg/m³: 4.89

abc: 5.576 5.576 3.324
angles: 90.00 90.00 90.00
Space group P4/mmm (No. 123)
Symmetry-distinct sites (fractional):
Ca 0.000 0.000 0.000 [1 per cell]
Be 0.500 0.500 0.500 [1 per cell]
Sb 0.000 0.500 0.500 [2 per cell]
C 0.500 0.500 0.000 [1 per cell]